Computed, not measured: a relaxed FeTcN2O crystal at the PBE with a Hubbard U level of DFT.

a = 3.863 Å, b = 3.863 Å, c = 3.655 Å
α = 90.00°, β = 90.00°, γ = 90.00°
Space group P4/mmm (No. 123)
Inequivalent atoms, fractional coordinates:
Fe 0.000 0.000 0.000 [1 per cell]
Tc 0.500 0.500 0.500 [1 per cell]
N 0.000 0.500 0.000 [2 per cell]
O 0.000 0.000 0.500 [1 per cell]

Results
V   54.5 Å³/cell
Energy   -6.47 eV per atom
Magnetic moment   6.78 μB per formula unit